Entry from Alexandria via LeMat-Bulk: AcY2HoEr after structural relaxation (PBE-GGA).

Geometry as POSCAR:
```
AcY2HoEr
1.0
-5.695 -3.153 -3.350
5.317 -3.974 -5.298
-2.334 -2.600 6.415
Ac Y Ho Er
2 4 2 2
Direct
0.250 0.748 0.496
0.750 0.252 0.504
0.500 0.308 0.000
0.000 0.692 0.000
0.500 0.692 0.000
0.000 0.308 0.000
0.250 0.031 0.061
0.750 0.969 0.939
0.750 0.702 0.404
0.250 0.298 0.596
```

Results
For the total magnetization, the calculation gives 0.0 μB/cell. The value obtained for the formation enthalpy at 0 K is 0.35 eV/atom. The value obtained for the volume is 370 Å³ per cell.